one.
DFT (PBE-GGA) results for an optimized crystal structure of YTlFeHg.

Its space group is No. 216.

CIF file:
```
data_YTlFeHg
_chemical_formula_sum 'Y1 Tl1 Fe1 Hg1'
_symmetry_space_group_name_H-M 'P 1'
_symmetry_Int_Tables_number 1
_cell_length_a 4.984
_cell_length_b 4.984
_cell_length_c 4.984
_cell_angle_alpha 60.00
_cell_angle_beta 60.00
_cell_angle_gamma 60.00
loop_
_symmetry_equiv_pos_as_xyz
'x,y,z'
loop_
_atom_site_label
_atom_site_type_symbol
_atom_site_fract_x
_atom_site_fract_y
_atom_site_fract_z
_atom_site_occupancy
Y1 Y 0.000 0.000 0.000 1
Tl1 Tl 0.250 0.250 0.250 1
Fe1 Fe 0.500 0.500 0.500 1
Hg1 Hg 0.750 0.750 0.750 1
```

---

two.
DFT (PBE-GGA) results for an optimized crystal structure of YTlFeHg.

Its space group is No. 216.

CIF file:
```
data_YTlFeHg
_chemical_formula_sum 'Y1 Tl1 Fe1 Hg1'
_symmetry_space_group_name_H-M 'P 1'
_symmetry_Int_Tables_number 1
_cell_length_a 5.004
_cell_length_b 5.004
_cell_length_c 5.004
_cell_angle_alpha 60.00
_cell_angle_beta 60.00
_cell_angle_gamma 60.00
loop_
_symmetry_equiv_pos_as_xyz
'x,y,z'
loop_
_atom_site_label
_atom_site_type_symbol
_atom_site_fract_x
_atom_site_fract_y
_atom_site_fract_z
_atom_site_occupancy
Y1 Y 0.000 0.000 0.000 1
Tl1 Tl 0.500 0.500 0.500 1
Fe1 Fe 0.750 0.750 0.750 1
Hg1 Hg 0.250 0.250 0.250 1
```

---

Going by the computed energies, the most stable comes first: one, two.

---

one.
DFT (PBE-GGA) results for an optimized crystal structure of HoInFeNi.

Its space group is No. 51.

CIF file:
```
data_HoInFeNi
_chemical_formula_sum 'Ho2 In2 Fe2 Ni2'
_symmetry_space_group_name_H-M 'P 1'
_symmetry_Int_Tables_number 1
_cell_length_a 4.973
_cell_length_b 4.037
_cell_length_c 7.173
_cell_angle_alpha 90.00
_cell_angle_beta 90.00
_cell_angle_gamma 90.00
loop_
_symmetry_equiv_pos_as_xyz
'x,y,z'
loop_
_atom_site_label
_atom_site_type_symbol
_atom_site_fract_x
_atom_site_fract_y
_atom_site_fract_z
_atom_site_occupancy
Ho1 Ho 0.250 0.000 0.221 1
Ho2 Ho 0.750 0.000 0.779 1
In1 In 0.250 0.500 0.857 1
In2 In 0.750 0.500 0.143 1
Fe1 Fe 0.000 0.500 0.500 1
Fe2 Fe 0.500 0.500 0.500 1
Ni1 Ni 0.250 0.000 0.606 1
Ni2 Ni 0.750 0.000 0.394 1
```

---

two.
DFT (PBE-GGA) results for an optimized crystal structure of HoInFeNi.

Its space group is No. 51.

CIF file:
```
data_HoInFeNi
_chemical_formula_sum 'Ho2 In2 Fe2 Ni2'
_symmetry_space_group_name_H-M 'P 1'
_symmetry_Int_Tables_number 1
_cell_length_a 5.027
_cell_length_b 4.019
_cell_length_c 7.137
_cell_angle_alpha 90.00
_cell_angle_beta 90.00
_cell_angle_gamma 90.00
loop_
_symmetry_equiv_pos_as_xyz
'x,y,z'
loop_
_atom_site_label
_atom_site_type_symbol
_atom_site_fract_x
_atom_site_fract_y
_atom_site_fract_z
_atom_site_occupancy
Ho1 Ho 0.250 0.000 0.218 1
Ho2 Ho 0.750 0.000 0.782 1
In1 In 0.250 0.500 0.855 1
In2 In 0.750 0.500 0.145 1
Fe1 Fe 0.250 0.000 0.592 1
Fe2 Fe 0.750 0.000 0.408 1
Ni1 Ni 0.000 0.500 0.500 1
Ni2 Ni 0.500 0.500 0.500 1
```

---

Going by the computed energies, the most stable comes first: one, two.

---

one.
DFT (PBE-GGA) results for an optimized crystal structure of KHoFeS3.

Its space group is No. 62.

CIF file:
```
data_KHoFeS3
_chemical_formula_sum 'K4 Ho4 Fe4 S12'
_symmetry_space_group_name_H-M 'P 1'
_symmetry_Int_Tables_number 1
_cell_length_a 10.732
_cell_length_b 4.083
_cell_length_c 12.138
_cell_angle_alpha 90.00
_cell_angle_beta 90.00
_cell_angle_gamma 90.00
loop_
_symmetry_equiv_pos_as_xyz
'x,y,z'
loop_
_atom_site_label
_atom_site_type_symbol
_atom_site_fract_x
_atom_site_fract_y
_atom_site_fract_z
_atom_site_occupancy
K1 K 0.172 0.250 0.003 1
K2 K 0.328 0.750 0.503 1
K3 K 0.672 0.250 0.497 1
K4 K 0.828 0.750 0.997 1
Ho1 Ho 0.017 0.250 0.680 1
Ho2 Ho 0.483 0.750 0.180 1
Ho3 Ho 0.517 0.250 0.820 1
Ho4 Ho 0.983 0.750 0.320 1
Fe1 Fe 0.241 0.250 0.286 1
Fe2 Fe 0.259 0.750 0.786 1
Fe3 Fe 0.741 0.250 0.214 1
Fe4 Fe 0.759 0.750 0.714 1
S1 S 0.053 0.750 0.830 1
S2 S 0.101 0.250 0.432 1
S3 S 0.218 0.750 0.196 1
S4 S 0.282 0.250 0.696 1
S5 S 0.399 0.750 0.932 1
S6 S 0.447 0.250 0.330 1
S7 S 0.553 0.750 0.670 1
S8 S 0.601 0.250 0.068 1
S9 S 0.718 0.750 0.304 1
S10 S 0.782 0.250 0.804 1
S11 S 0.899 0.750 0.568 1
S12 S 0.947 0.250 0.170 1
```

---

two.
DFT (PBE-GGA) results for an optimized crystal structure of KHoFeS3.

Its space group is No. 11.

CIF file:
```
data_KHoFeS3
_chemical_formula_sum 'K2 Ho2 Fe2 S6'
_symmetry_space_group_name_H-M 'P 1'
_symmetry_Int_Tables_number 1
_cell_length_a 8.689
_cell_length_b 3.919
_cell_length_c 9.301
_cell_angle_alpha 90.00
_cell_angle_beta 107.78
_cell_angle_gamma 90.00
loop_
_symmetry_equiv_pos_as_xyz
'x,y,z'
loop_
_atom_site_label
_atom_site_type_symbol
_atom_site_fract_x
_atom_site_fract_y
_atom_site_fract_z
_atom_site_occupancy
K1 K 0.211 0.250 0.239 1
K2 K 0.789 0.750 0.761 1
Ho1 Ho 0.332 0.750 0.854 1
Ho2 Ho 0.668 0.250 0.146 1
Fe1 Fe 0.076 0.250 0.594 1
Fe2 Fe 0.924 0.750 0.406 1
S1 S 0.109 0.250 0.847 1
S2 S 0.201 0.750 0.536 1
S3 S 0.457 0.750 0.157 1
S4 S 0.543 0.250 0.843 1
S5 S 0.799 0.250 0.464 1
S6 S 0.891 0.750 0.153 1
```

---

Going by the computed energies, the most stable comes first: two, one.